Compound: BeInSe2
Source: Alexandria via LeMat-Bulk
Functional: GGA-PBEsol
Structure: optimized geometry

Computed properties:
Symmetry: R-3m (166)
Calculated volume (Å³/cell): 78
Polymorph energy (0 for the lowest one) (meV/atom): 233
Formation energy (no corrections) (eV/f.u.): -0.72

a = 8.7250 Å, b = 8.7250 Å, c = 8.7250 Å
α = 21.52°, β = 21.52°, γ = 21.52°
Closest atoms and distances in Å follow each position.
Fractional coordinates of all 4 atoms:
Be: 0.0000 0.0000 0.0000  6 Se 2.34
In: 0.5000 0.5000 0.5000  2 Se 2.86
Se: 0.3879 0.3879 0.3879  3 Be 2.34
Se: 0.6121 0.6121 0.6121  3 Be 2.34